# SrBeIr

Crystalline SrBeIr at its relaxed geometry (PBE-GGA, the Alexandria database).

abc: 4.2362 4.2362 8.3916
angles: 90.00 90.00 90.00
Fractional positions:
Sr 0.5000 0.0000 0.2204
Sr 0.0000 0.5000 0.7796
Be 0.5000 0.0000 0.5888
Be 0.0000 0.5000 0.4112
Ir 0.5000 0.5000 0.5000
Ir 0.0000 0.0000 0.5000

Summary:
Electronic total energy (eV/atom): -5.1720
Formation energy (eV/atom): -0.42
Space-group type: P4/nmm
Offset from the most stable computed form (eV/atom): 0.000